[1]
# LuScCSe (GGA-PBE, relaxed)
data_LuScCSe
_chemical_formula_sum 'Lu2 Sc2 C2 Se2'
_cell_length_a 3.587
_cell_length_b 3.587
_cell_length_c 12.629
_cell_angle_alpha 90.00
_cell_angle_beta 90.00
_cell_angle_gamma 120.00
_symmetry_space_group_name_H-M 'P 1'
_symmetry_Int_Tables_number 1
_symmetry_space_group_name_Hall 'P 1'
loop_
_atom_site_label
_atom_site_fract_x
_atom_site_fract_y
_atom_site_fract_z
Lu1 0.333 0.667 0.000
Lu2 0.667 0.333 0.500
Sc1 0.333 0.667 0.303
Sc2 0.667 0.333 0.803
C1 0.000 0.000 0.398
C2 0.000 0.000 0.898
Se1 0.333 0.667 0.657
Se2 0.667 0.333 0.157
# V	70	Å³/f.u.
# calculated total energy	-7.07	eV/atom

***

[2]
# TbThAl (GGA-PBE, relaxed)
data_TbThAl
_chemical_formula_sum 'Tb4 Th4 Al4'
_cell_length_a 7.165
_cell_length_b 7.165
_cell_length_c 7.165
_cell_angle_alpha 90.00
_cell_angle_beta 90.00
_cell_angle_gamma 90.00
_symmetry_space_group_name_H-M 'P 1'
_symmetry_Int_Tables_number 1
_symmetry_space_group_name_Hall 'P 1'
loop_
_atom_site_label
_atom_site_fract_x
_atom_site_fract_y
_atom_site_fract_z
Tb1 0.000 0.000 0.000
Tb2 0.000 0.500 0.500
Tb3 0.500 0.000 0.500
Tb4 0.500 0.500 0.000
Th1 0.000 0.000 0.500
Th2 0.000 0.500 0.000
Th3 0.500 0.000 0.000
Th4 0.500 0.500 0.500
Al1 0.250 0.250 0.250
Al2 0.250 0.750 0.750
Al3 0.750 0.250 0.750
Al4 0.750 0.750 0.250
# V	92	Å³/f.u.
# calculated total energy	-5.21	eV/atom

***

[3]
# Li4GaPt2Pb (GGA-PBE, relaxed)
data_Li4GaPt2Pb
_chemical_formula_sum 'Li4 Ga1 Pt2 Pb1'
_cell_length_a 4.360
_cell_length_b 4.360
_cell_length_c 6.503
_cell_angle_alpha 90.00
_cell_angle_beta 90.00
_cell_angle_gamma 90.00
_symmetry_space_group_name_H-M 'P 1'
_symmetry_Int_Tables_number 1
_symmetry_space_group_name_Hall 'P 1'
loop_
_atom_site_label
_atom_site_fract_x
_atom_site_fract_y
_atom_site_fract_z
Li1 0.000 0.000 0.000
Li2 0.000 0.500 0.720
Li3 0.500 0.000 0.280
Li4 0.500 0.500 0.500
Ga1 0.000 0.000 0.500
Pt1 0.000 0.500 0.279
Pt2 0.500 0.000 0.721
Pb1 0.500 0.500 0.000
# V	124	Å³/f.u.
# calculated total energy	-3.87	eV/atom

***

[4]
# PmTlSeO (GGA-PBE, relaxed)
data_PmTlSeO
_chemical_formula_sum 'Pm2 Tl2 Se2 O2'
_cell_length_a 4.726
_cell_length_b 8.123
_cell_length_c 6.664
_cell_angle_alpha 90.00
_cell_angle_beta 90.00
_cell_angle_gamma 90.00
_symmetry_space_group_name_H-M 'P 1'
_symmetry_Int_Tables_number 1
_symmetry_space_group_name_Hall 'P 1'
loop_
_atom_site_label
_atom_site_fract_x
_atom_site_fract_y
_atom_site_fract_z
Pm1 0.000 0.134 0.000
Pm2 0.000 0.866 0.500
Tl1 0.500 0.295 0.579
Tl2 0.500 0.705 0.079
Se1 0.500 0.314 0.099
Se2 0.500 0.686 0.599
O1 0.000 0.089 0.678
O2 0.000 0.911 0.178
# V	128	Å³/f.u.
# calculated total energy	-5.60	eV/atom